Entry 1:
Material: TbPrRe
Method: DFT, GGA-PBE
State: relaxed

Cell lengths 4.8836, 4.8836, 7.3748 Å; angles 90.00, 90.00, 90.00 degrees
Last column: nearest neighbours and their distance in Å.
Space group P4/nmm (No. 129, origin choice 2)
One atom of each set of equivalent atoms:
Tb: 0.2500 0.2500 0.2124  4 Re 2.90
Pr: 0.2500 0.2500 0.7489  4 Re 3.06, 1 Tb 3.42
Re: 0.2500 0.7500 0.0000  4 Tb 2.90, 4 Pr 3.06

Summary:
DFT formation energy (eV/f.u.): 0.82
Crystal system: tetragonal
Density of states at the Fermi level (states/eV/cell): 6.65


Entry 2:
Material: Pu3ThGe2
Method: DFT, GGA-PBE
State: relaxed

Cell lengths 4.2227, 9.4686, 7.3834 Å; angles 90.00, 90.00, 90.00 degrees
Last column: nearest neighbours and their distance in Å.
Space group Pmc2_1 (No. 26)
One atom of each set of equivalent atoms:
Pu: 0.0000 0.0677 0.0000  5 Ge 3.08-3.16, 2 Pu 3.21
Pu: 0.0000 0.3150 0.4606  4 Ge 2.99-3.05, 2 Pu 3.07, 2 Th 3.30
Pu: 0.5000 0.1744 0.7019  4 Ge 2.91-3.06, 4 Pu 3.07-3.21
Th: 0.5000 0.4316 0.1508  5 Ge 3.07-3.19, 2 Pu 3.30
Ge: 0.0000 0.3735 0.8579  5 Pu 2.99-3.08, 4 Th 3.07-3.19
Ge: 0.5000 0.1235 0.2969  8 Pu 2.91-3.16, 1 Th 3.11

Summary:
DFT formation energy (eV/f.u.): -2.03
Excess energy over the best structure of this formula in the dataset (meV/atom): 36
Crystal system: orthorhombic
Density of states at the Fermi level (states/eV/cell): 46.70